Compound: Cs2UVO6
Source: Alexandria via LeMat-Bulk
Functional: GGA+U
Structure: relaxed

Values from the calculation:
Total energy (eV per formula unit): -73.3
Magnetic moment (μB/cell): 0.99

abc: 5.7846 5.7846 7.0085
angles: 65.63 65.63 90.00
Last column: nearest neighbours and their distance in Å.
Fractional coordinates of all 10 atoms:
1 O 0.7276 0.2724 0.0000  1 V 1.86
2 O 0.2724 0.7276 0.0000  1 V 1.86
3 O 0.1676 0.1676 0.6647  1 U 1.91
4 O 0.7276 0.7276 0.0001  1 V 1.86
5 O 0.8324 0.8324 0.3353  1 U 1.91
6 O 0.2724 0.2724 0.9999  1 V 1.86
7 Cs 0.2500 0.7500 0.5000  4 O 3.04
8 Cs 0.7500 0.2500 0.5000  4 O 3.04
9 U 0.0000 0.0000 0.0000  2 O 1.91
10 V 0.5000 0.5000 0.0000  4 O 1.86